No. 1
Entry from Alexandria via LeMat-Bulk: a geometry-optimized Ba10IBr4N5 structure (GGA-PBE).

Unit cell a=7.2777 b=8.4226 c=11.1187 alpha=73.58 beta=70.90 gamma=81.74
Atoms (fractional coordinates):
Ba 0.9547 0.6789 0.8609
Ba 0.7498 0.6803 0.2683
Ba 0.3611 0.6821 0.0646
Ba 0.4458 0.3127 0.3377
Ba 0.2502 0.3197 0.7317
Ba 0.5542 0.6873 0.6623
Ba 0.1530 0.6855 0.4613
Ba 0.0453 0.3211 0.1391
Ba 0.6389 0.3179 0.9354
Ba 0.8470 0.3145 0.5387
N 0.3015 0.5019 0.8984
N 0.5000 0.5000 0.5000
N 0.6985 0.4981 0.1016
N 0.1015 0.4992 0.3022
N 0.8985 0.5008 0.6978
I 0.0000 0.0000 0.0000
Br 0.6005 0.9998 0.7992
Br 0.3995 0.0002 0.2008
Br 0.2001 0.9996 0.5993
Br 0.7999 0.0004 0.4007

Output
SG = No. 2

***

No. 2
Entry from Alexandria via LeMat-Bulk: a geometry-optimized BaIBrN2 structure (GGA-PBE).

Unit cell a=4.7227 b=4.7227 c=5.4569 alpha=90.00 beta=90.00 gamma=90.00
Each line ends with the local moment (μB).
Atoms (fractional coordinates):
N 0.5000 0.0000 0.0000  0.51
N 0.0000 0.5000 0.0000  0.51
Br 0.0000 0.0000 0.0000  -0.03
Ba 0.5000 0.5000 0.5000  -0.01
I 0.0000 0.0000 0.5000  -0.01

Output
SG = No. 123

***

No. 3
Entry from Alexandria via LeMat-Bulk: a geometry-optimized BaI2BrN structure (GGA-PBE).

Unit cell a=6.8220 b=6.8220 c=5.4674 alpha=90.00 beta=90.00 gamma=90.00
Each line ends with the local moment (μB).
Atoms (fractional coordinates):
Ba 0.0000 0.0000 0.0000  0.02
I 0.5000 0.0000 0.0000  0.26
I 0.0000 0.5000 0.0000  0.26
Br 0.5000 0.5000 0.5000  0.57
N 0.0000 0.0000 0.5000  1.54

Output
SG = No. 123

***

No. 4
Entry from Alexandria via LeMat-Bulk: a geometry-optimized BaNaIBr structure (GGA-PBE).

Unit cell a=4.9740 b=4.9740 c=18.5527 alpha=82.30 beta=82.30 gamma=60.00
Atoms (fractional coordinates):
I 0.0967 0.0967 0.7100
I 0.9033 0.9033 0.2900
Ba 0.2016 0.2016 0.3951
Ba 0.7984 0.7984 0.6049
Br 0.6960 0.6960 0.9121
Br 0.3040 0.3040 0.0879
Na 0.6422 0.6422 0.0733
Na 0.3578 0.3578 0.9267

Output
SG = No. 166

***

No. 5
Entry from Alexandria via LeMat-Bulk: a geometry-optimized Ba4NiI2Br structure (GGA-PBE).

Unit cell a=4.5678 b=8.5711 c=8.8955 alpha=105.57 beta=90.00 gamma=90.00
Each line ends with the local moment (μB).
Atoms (fractional coordinates):
Ba 0.0000 0.7083 0.1999  0.06
Ba 0.5000 0.2664 0.2161  0.05
Ba 0.5000 0.7336 0.7839  0.05
Ba 0.0000 0.2917 0.8001  0.06
I 0.0000 0.5000 0.5000  0.01
I 0.5000 0.0000 0.5000  0.00
Br 0.0000 0.0000 0.0000  0.01
Ni 0.5000 0.5000 0.0000  -0.07

Output
SG = No. 10

***

No. 6
Entry from Alexandria via LeMat-Bulk: a geometry-optimized BaIBrO4 structure (GGA-PBE).

Unit cell a=7.0434 b=7.0434 c=7.7819 alpha=78.68 beta=78.68 gamma=72.23
Atoms (fractional coordinates):
O 0.4717 0.4717 0.7768
O 0.5062 0.8481 0.8574
O 0.7042 0.7042 0.5131
O 0.8481 0.5062 0.8574
O 0.1519 0.4938 0.1426
O 0.2958 0.2958 0.4869
O 0.5283 0.5283 0.2232
O 0.4938 0.1519 0.1426
Br 0.9630 0.9630 0.7590
Br 0.0370 0.0370 0.2410
Ba 0.7816 0.7816 0.1466
Ba 0.2184 0.2184 0.8534
I 0.6328 0.6328 0.7450
I 0.3672 0.3672 0.2550

Output
SG = No. 12

***

no.,E (hartree per atom)
1,-0.169
2,-0.114
3,-0.100
4,-0.108
5,-0.122
6,-0.168